# 1
Below is crystalline As3PIr at its relaxed geometry, with properties calculated at the GGA-PBE level.

Values from the calculation:
Total moment in μB/f.u.: 0.000
ΔH_f (0 K) in eV/atom: 1.06
Energy relative to the lowest polymorph listed for this composition in meV per atom: 195

```
data_As3PIr
_cell_length_a 4.552
_cell_length_b 4.552
_cell_length_c 4.552
_cell_angle_alpha 90.00
_cell_angle_beta 90.00
_cell_angle_gamma 90.00
_space_group_name_H-M_alt 'P 1'
_space_group_IT_number 1
_space_group_name_Hall 'P 1'
loop_
_atom_site_label
_atom_site_fract_x
_atom_site_fract_y
_atom_site_fract_z
Ir1 0.500 0.500 0.500
As1 0.500 0.000 0.000
As2 0.000 0.000 0.500
As3 0.000 0.500 0.000
P1 0.000 0.000 0.000
```



# 2
Below is crystalline Zr2AlC at its relaxed geometry, with properties calculated at the GGA-PBE level.

Values from the calculation:
Total moment in μB/f.u.: 0.000
ΔH_f (0 K) in eV/atom: -0.65
Energy relative to the lowest polymorph listed for this composition in meV per atom: 0

```
data_Zr2AlC
_cell_length_a 3.328
_cell_length_b 3.328
_cell_length_c 14.636
_cell_angle_alpha 90.00
_cell_angle_beta 90.00
_cell_angle_gamma 120.00
_space_group_name_H-M_alt 'P 1'
_space_group_IT_number 1
_space_group_name_Hall 'P 1'
loop_
_atom_site_label
_atom_site_fract_x
_atom_site_fract_y
_atom_site_fract_z
C1 0.000 0.000 0.500
C2 0.000 0.000 0.000
Zr1 0.333 0.667 0.587
Zr2 0.667 0.333 0.087
Zr3 0.667 0.333 0.413
Zr4 0.333 0.667 0.913
Al1 0.333 0.667 0.250
Al2 0.667 0.333 0.750
```



# 3
Below is crystalline NiBAu at its relaxed geometry, with properties calculated at the GGA-PBE level.

Values from the calculation:
Total moment in μB/f.u.: 0.000
ΔH_f (0 K) in eV/atom: 0.23

```
data_NiBAu
_cell_length_a 3.127
_cell_length_b 6.128
_cell_length_c 5.001
_cell_angle_alpha 119.96
_cell_angle_beta 108.21
_cell_angle_gamma 90.00
_space_group_name_H-M_alt 'P 1'
_space_group_IT_number 1
_space_group_name_Hall 'P 1'
loop_
_atom_site_label
_atom_site_fract_x
_atom_site_fract_y
_atom_site_fract_z
Au1 0.899 0.688 0.797
Au2 0.101 0.312 0.203
B1 0.589 0.824 0.177
B2 0.411 0.176 0.823
Ni1 0.786 0.182 0.572
Ni2 0.214 0.818 0.428
```



- Which of these has the highest ΔH_f (0 K)?
  As3PIr